This record from the Alexandria database describes an optimized crystal structure of MnCoNiF6. The functional is PBE with a Hubbard U.

Summary:
As for the magnetization: 19.98 Bohr magnetons per cell. As for the total energy: -5.259 eV per atom.

Cell: 4.808 4.808 9.664 Å, 90.00 90.00 90.00°
Space group P4_2nm (No. 102)
One atom of each set of equivalent atoms:
Mn 0.000 0.000 0.000 x2
Co 0.000 0.000 0.668 x2
Ni 0.000 0.000 0.334 x2
F 0.188 0.188 0.498 x4
F 0.198 0.198 0.174 x4
F 0.201 0.201 0.830 x4